Crystalline B2MoBr2 at its relaxed geometry. Source: the Alexandria database, functional PBE.

Cell: 6.3278 6.3278 4.5647 Å, 90.00 90.00 90.00°
With the nearest neighbours (Å) after each atom.
Space group P4/mbm (No. 127)
One atom of each set of equivalent atoms:
B: 0.2363 0.2637 0.0000 [4 per cell]  2 Mo 2.24, 2 Br 2.30
Mo: 0.0000 0.0000 0.0000 [2 per cell]  4 B 2.24
Br: 0.2064 0.2936 0.5000 [4 per cell]  2 B 2.30

Calculated values
total energy: -42.43 eV for the cell shown
calculated volume: 182.8 Å³/cell
Fermi-level density of states: 6.5 states/eV/cell
uncorrected formation energy: 1.263 eV per atom